SrMgCo2: single point on PBEsol structure, SCAN.

```
4
Lattice="-0.373 2.158 -3.123 -3.938 0.675 0.937 3.348 3.883 2.284" Properties=species:S:1:pos:R:3 pbc="T T T"
Mg 0.341 1.045 0.681
Co -1.635 3.009 -0.055
Co -1.190 2.721 2.022
Sr 0.926 4.484 0.659
```

distance to the lowest polymorph of the same formula	0.000	eV/atom
DFT formation energy	0.3226	eV/atom
final energy	-15.142	eV/atom
SG	No. 38